First-principles (PBE) data for a relaxed structure of ZrTlAg, as listed in Alexandria.

The calculation puts the energy relative to the elements at 0.153 eV per atom. For the volume, the calculation gives 21.863 Å³/atom. The size of the total moment comes out at 0.00 μB/f.u. The mass density is 10.21 Mg/m³.

The space group is Imm2 (No. 44) and the conventional cell measures 3.2406, 4.5347 and 8.9266 Å, with angles of 90.00, 90.00 and 90.00 degrees. The inequivalent atoms are Zr at (0.0000, 0.0000, 0.0000), Tl at (0.0000, 0.0000, 0.3339) and Ag at (0.0000, 0.0000, 0.6631).